A) A geometry-optimized PaGa4Pd2 structure, computed with GGA-PBE.

Cell lengths 4.4232, 6.5485, 17.1161 Å; angles 90.00, 90.00, 90.00 degrees
With the nearest neighbours (Å) after each atom.
Positions (direct):
Pa1 0.7500 0.9900 0.6376  10 Ga 3.03-3.32, 5 Pd 3.20-3.34
Pa2 0.2500 0.0100 0.3624  10 Ga 3.03-3.32, 5 Pd 3.20-3.34
Pa3 0.2500 0.4900 0.8624  10 Ga 3.03-3.32, 5 Pd 3.20-3.34
Pa4 0.7500 0.5100 0.1376  10 Ga 3.03-3.32, 5 Pd 3.20-3.34
Pd1 0.2500 0.7650 0.5336  7 Ga 2.57-2.80
Pd2 0.7500 0.2350 0.4664  7 Ga 2.57-2.80
Pd3 0.7500 0.2650 0.9664  7 Ga 2.57-2.80
Pd4 0.2500 0.7350 0.0336  7 Ga 2.57-2.80
Pd5 0.2500 0.9750 0.7832  7 Ga 2.54-2.66
Pd6 0.7500 0.0250 0.2168  7 Ga 2.54-2.66
Pd7 0.7500 0.4750 0.7168  7 Ga 2.54-2.66
Pd8 0.2500 0.5250 0.2832  7 Ga 2.54-2.66
Ga1 0.2500 0.2790 0.6896  3 Pd 2.55-2.60, 2 Ga 2.64-2.68
Ga2 0.7500 0.7210 0.3104  3 Pd 2.55-2.60, 2 Ga 2.64-2.68
Ga3 0.7500 0.7790 0.8104  3 Pd 2.55-2.60, 2 Ga 2.64-2.68
Ga4 0.2500 0.2210 0.1896  3 Pd 2.55-2.60, 2 Ga 2.64-2.68
Ga5 0.2500 0.6821 0.6828  4 Pd 2.57-2.66, 1 Ga 2.64
Ga6 0.7500 0.3179 0.3172  4 Pd 2.57-2.66, 1 Ga 2.64
Ga7 0.7500 0.1821 0.8172  4 Pd 2.57-2.66, 1 Ga 2.64
Ga8 0.2500 0.8179 0.1828  4 Pd 2.57-2.66, 1 Ga 2.64
Ga9 0.2500 0.1703 0.5384  3 Pd 2.57-2.66, 2 Ga 2.68-2.75
Ga10 0.7500 0.8297 0.4616  3 Pd 2.57-2.66, 2 Ga 2.68-2.75
Ga11 0.7500 0.6703 0.9616  3 Pd 2.57-2.66, 2 Ga 2.68-2.75
Ga12 0.2500 0.3297 0.0384  3 Pd 2.57-2.66, 2 Ga 2.68-2.75
Ga13 0.2500 0.4804 0.4303  4 Pd 2.54-2.80, 1 Ga 2.75
Ga14 0.7500 0.5196 0.5697  4 Pd 2.54-2.80, 1 Ga 2.75
Ga15 0.7500 0.9804 0.0697  4 Pd 2.54-2.80, 1 Ga 2.75
Ga16 0.2500 0.0196 0.9303  4 Pd 2.54-2.80, 1 Ga 2.75

Values from the calculation:
Magnetization in Bohr magnetons per cell: 0.00

***

B) A geometry-optimized PaGa4Pd2 structure, computed with GGA-PBE.

Cell lengths 4.5677, 7.4546, 7.4546 Å; angles 90.00, 90.00, 90.00 degrees
With the nearest neighbours (Å) after each atom.
Positions (direct):
Pa1 0.5000 0.0000 0.0000  6 Pd 2.94-3.26, 4 Ga 3.26
Pa2 0.0000 0.5000 0.5000  6 Pd 2.94-3.26, 4 Ga 3.26
Ga1 0.0000 0.0937 0.3397  3 Pd 2.51-2.71, 2 Ga 2.59-2.77
Ga2 0.0000 0.9063 0.6603  3 Pd 2.51-2.71, 2 Ga 2.59-2.77
Ga3 0.5000 0.1603 0.5937  3 Pd 2.51-2.71, 2 Ga 2.59-2.77
Ga4 0.5000 0.8397 0.4063  3 Pd 2.51-2.71, 2 Ga 2.59-2.77
Ga5 0.5000 0.4063 0.8397  3 Pd 2.51-2.71, 2 Ga 2.59-2.77
Ga6 0.5000 0.5937 0.1603  3 Pd 2.51-2.71, 2 Ga 2.59-2.77
Ga7 0.0000 0.3397 0.0937  3 Pd 2.51-2.71, 2 Ga 2.59-2.77
Ga8 0.0000 0.6603 0.9063  3 Pd 2.51-2.71, 2 Ga 2.59-2.77
Pd1 0.0000 0.2213 0.7787  6 Ga 2.51-2.71
Pd2 0.0000 0.7787 0.2213  6 Ga 2.51-2.71
Pd3 0.5000 0.7213 0.7213  6 Ga 2.51-2.71
Pd4 0.5000 0.2787 0.2787  6 Ga 2.51-2.71

Values from the calculation:
Magnetization in Bohr magnetons per cell: 1.86

***

Ranking the structures above by stability puts A) first and B) last.